RbZrCd2Sb | SCAN | single point on PBEsol structure

The structure in CIF format:
```
data_RbZrCd2Sb
_chemical_formula_sum 'Rb1 Zr1 Cd2 Sb1'
_cell_length_a 5.665
_cell_length_b 5.665
_cell_length_c 5.484
_cell_angle_alpha 90.00
_cell_angle_beta 90.00
_cell_angle_gamma 90.00
_space_group_name_H-M_alt 'P 4/m m m'
_space_group_IT_number 123
_space_group_name_Hall '-P 4 2'
loop_
_atom_site_label
_atom_site_fract_x
_atom_site_fract_y
_atom_site_fract_z
Rb1 0.000 0.000 0.000
Zr1 0.500 0.500 0.500
Cd1 0.000 0.500 0.500
Sb1 0.500 0.500 0.000
```

Summary:
ΔE_f (raw)	0.12	eV/f.u.
spin magnetization	0.00	μB/f.u.